a | Entry from the Alexandria database: a relaxed KSrAl2 crystal (PBE).

Geometry as POSCAR:
```
KSrAl2
1.0
-4.5853 4.5853 3.2410
4.5853 -4.5853 3.2410
4.5853 4.5853 -3.2410
K Sr Al
2 2 4
Direct
0.0000 0.0000 0.0000 K
0.7500 0.2500 0.5000 K
0.2500 0.7500 0.5000 Sr
0.5000 0.5000 0.0000 Sr
0.1304 0.6250 0.0054 Al
0.3750 0.3804 0.5054 Al
0.6196 0.1250 0.9946 Al
0.8750 0.8696 0.4946 Al
```

Output
size of the total moment: 0.0 Bohr magnetons per cell

b | Entry from the Alexandria database: a relaxed KSrAl2 crystal (PBE).

Geometry as POSCAR:
```
KSrAl2
1.0
-2.7591 2.7591 3.8171
2.7591 -2.7591 3.8171
2.7591 2.7591 -3.8171
K Sr Al
1 1 2
Direct
0.0000 0.0000 0.0000 K
0.2500 0.7500 0.5000 Sr
0.5000 0.5000 0.0000 Al
0.7500 0.2500 0.5000 Al
```

Output
size of the total moment: 0.0 Bohr magnetons per cell

Pick the least stable structure from those above. Pick: a